1.
AgTePb2: relaxed, PBE.

a = 7.6456 Å, b = 7.6456 Å, c = 7.6456 Å
α = 90.00°, β = 90.00°, γ = 90.00°
Space group F-43m (No. 216)
Unique sites:
Ag 0.0000 0.0000 0.0000
Te 0.2500 0.2500 0.7500
Pb 0.0000 0.0000 0.5000
Pb 0.2500 0.2500 0.2500

Computed properties:
Energy   -3.2165 eV/atom
ρ   9.66 g cm⁻³

2.
Ag5Te6Pb2: relaxed, PBE.

a = 7.7960 Å, b = 7.7960 Å, c = 8.2369 Å
α = 90.00°, β = 90.00°, γ = 120.00°
Space group P-31m (No. 162)
Unique sites:
Ag 0.0000 0.0000 0.2399
Ag 0.0000 0.5000 0.5000
Te 0.0000 0.3425 0.7824
Pb 0.3333 0.6667 0.0000

Computed properties:
Energy   -3.1250 eV/atom
ρ   6.59 g cm⁻³

3.
AgTe2Pb: relaxed, PBE.

a = 7.6140 Å, b = 7.6140 Å, c = 7.6140 Å
α = 90.00°, β = 90.00°, γ = 90.00°
Space group F-43m (No. 216)
Unique sites:
Ag 0.0000 0.0000 0.0000
Te 0.0000 0.0000 0.5000
Te 0.2500 0.2500 0.7500
Pb 0.2500 0.2500 0.2500

Computed properties:
Energy   -3.0084 eV/atom
ρ   8.58 g cm⁻³

4.
TmAgTe3Pb: relaxed, PBE.

a = 4.3159 Å, b = 14.7986 Å, c = 11.1917 Å
α = 90.00°, β = 90.00°, γ = 90.00°
Space group Cmcm (No. 63)
Unique sites:
Tm 0.0000 0.0000 0.0000
Ag 0.0000 0.4691 0.2500
Te 0.0000 0.0925 0.2500
Te 0.0000 0.3556 0.0505
Pb 0.0000 0.2313 0.7500

Computed properties:
Spin magnetization   0.000 μB/atom
Polymorph energy (0 for the lowest one)   16 meV per atom
ρ   8.05 g cm⁻³

5.
TmAgTe3Pb: relaxed, PBE.

a = 19.5270 Å, b = 4.3215 Å, c = 8.9910 Å
α = 90.00°, β = 102.08°, γ = 90.00°
Space group C2/m (No. 12)
Unique sites:
Tm 0.1620 0.0000 0.0880
Ag 0.0406 0.5000 0.2128
Te 0.0000 0.0000 0.0000
Te 0.0000 0.5000 0.5000
Te 0.1761 0.5000 0.8562
Te 0.1861 0.5000 0.3343
Pb 0.1287 0.0000 0.5735

Computed properties:
Spin magnetization   0.003 μB/atom
Polymorph energy (0 for the lowest one)   28 meV per atom
ρ   7.76 g cm⁻³

6.
TmAgTe3Pb: relaxed, PBE.

a = 14.5981 Å, b = 4.3311 Å, c = 11.5779 Å
α = 90.00°, β = 90.00°, γ = 90.00°
Space group Pnma (No. 62)
Unique sites:
Tm 0.0106 0.2500 0.1756
Ag 0.0084 0.7500 0.4128
Te 0.1074 0.2500 0.9400
Te 0.1212 0.7500 0.6235
Te 0.1489 0.7500 0.2440
Pb 0.2208 0.2500 0.4475

Computed properties:
Spin magnetization   0.001 μB/atom
Polymorph energy (0 for the lowest one)   0 meV per atom
ρ   7.87 g cm⁻³

7.
TmAgTe3Pb: relaxed, PBE.

a = 12.5714 Å, b = 4.4858 Å, c = 12.7940 Å
α = 90.00°, β = 90.00°, γ = 90.00°
Space group Pnma (No. 62)
Unique sites:
Tm 0.0254 0.2500 0.1865
Ag 0.2378 0.7500 0.3005
Te 0.0247 0.7500 0.3606
Te 0.0885 0.2500 0.9354
Te 0.2303 0.7500 0.6708
Pb 0.1888 0.2500 0.4855

Computed properties:
Spin magnetization   0.000 μB/atom
Polymorph energy (0 for the lowest one)   79 meV per atom
ρ   7.98 g cm⁻³

8.
TmAgTe3Pb: relaxed, PBE.

a = 11.2372 Å, b = 4.3393 Å, c = 14.6843 Å
α = 90.00°, β = 90.00°, γ = 90.00°
Space group Pnma (No. 62)
Unique sites:
Tm 0.0156 0.2500 0.2458
Ag 0.2416 0.2500 0.7206
Te 0.0371 0.2500 0.6093
Te 0.0654 0.7500 0.1026
Te 0.2365 0.7500 0.8434
Pb 0.2303 0.7500 0.5180

Computed properties:
Spin magnetization   0.001 μB/atom
Polymorph energy (0 for the lowest one)   14 meV per atom
ρ   8.04 g cm⁻³

Which of these has the lowest ρ?
Ag5Te6Pb2